VASP calculation (GGA-PBE) on La4Dy3 after structural relaxation.

Summary:
For the formation enthalpy at 0 K, the calculation gives 0.20 eV/f.u. The space group is C2/m, No. 12.

Lattice parameters (Å, degrees): 11.4473 5.1948 8.2454 90.00 98.59 90.00
With the nearest neighbours (Å) after each atom.
Fractional coordinates of all 14 atoms:
La 0.1432 0.0000 0.4240  6 Dy 3.62-3.70, 6 La 3.66-3.71
La 0.2133 0.5000 0.1418  7 Dy 3.63-3.67, 5 La 3.66-3.71
La 0.2867 0.0000 0.8582  7 Dy 3.63-3.67, 5 La 3.66-3.71
La 0.3568 0.5000 0.5760  6 Dy 3.62-3.70, 6 La 3.66-3.71
La 0.6432 0.5000 0.4240  6 Dy 3.62-3.70, 6 La 3.66-3.71
La 0.7133 0.0000 0.1418  7 Dy 3.63-3.67, 5 La 3.66-3.71
La 0.7867 0.5000 0.8582  7 Dy 3.63-3.67, 5 La 3.66-3.71
La 0.8568 0.0000 0.5760  6 Dy 3.62-3.70, 6 La 3.66-3.71
Dy 0.0000 0.0000 0.0000  8 La 3.63-3.65, 4 Dy 3.69
Dy 0.0711 0.5000 0.7129  9 La 3.62-3.70, 3 Dy 3.64-3.69
Dy 0.4289 0.0000 0.2871  9 La 3.62-3.70, 3 Dy 3.64-3.69
Dy 0.5000 0.5000 0.0000  8 La 3.63-3.65, 4 Dy 3.69
Dy 0.5711 0.0000 0.7129  9 La 3.62-3.70, 3 Dy 3.64-3.69
Dy 0.9289 0.5000 0.2871  9 La 3.62-3.70, 3 Dy 3.64-3.69

VASP calculation (GGA-PBE) on TcHgPdRu2 after structural relaxation.

Summary:
For the formation enthalpy at 0 K, the calculation gives 12.58 eV/f.u. The space group is P4/mmm, No. 123.

Lattice parameters (Å, degrees): 4.9277 4.9277 4.9999 90.00 90.00 90.00
With the nearest neighbours (Å) after each atom.
Fractional coordinates of all 5 atoms:
Tc 0.0000 0.0000 0.0000  2 Hg 2.50
Hg 0.0000 0.0000 0.5000  4 Ru 2.46, 2 Tc 2.50
Pd 0.5000 0.5000 0.0000  4 Tc 3.48, 8 Ru 3.51
Ru 0.0000 0.5000 0.5000  2 Hg 2.46
Ru 0.5000 0.0000 0.5000  2 Hg 2.46

VASP calculation (GGA-PBE) on TcPRh2 after structural relaxation.

Summary:
For the formation enthalpy at 0 K, the calculation gives -0.76 eV/f.u. The space group is P2/m, No. 10.

Lattice parameters (Å, degrees): 2.8277 3.9498 5.1262 90.00 104.97 90.00
With the nearest neighbours (Å) after each atom.
Fractional coordinates of all 4 atoms:
Tc 0.0000 0.0000 0.0000  2 P 2.56, 8 Rh 2.73-2.77, 2 Tc 2.83
P 0.0000 0.0000 0.5000  4 Rh 2.41, 2 Tc 2.56
Rh 0.3637 0.5000 0.7384  2 P 2.41, 1 Rh 2.59
Rh 0.6363 0.5000 0.2616  2 P 2.41, 1 Rh 2.59

VASP calculation (GGA-PBE) on CrRh2Pb after structural relaxation.

Summary:
For the formation enthalpy at 0 K, the calculation gives 2.00 eV/f.u. The space group is I-42d, No. 122.

Lattice parameters (Å, degrees): 4.1050 4.1050 17.6799 90.00 90.00 90.00
With the nearest neighbours (Å) after each atom.
Fractional coordinates of all 16 atoms:
Cr 0.0000 0.0000 0.0000  4 Rh 2.58
Cr 0.0000 0.5000 0.2500  4 Rh 2.58
Cr 0.5000 0.0000 0.7500  4 Rh 2.58
Cr 0.5000 0.5000 0.5000  4 Rh 2.58
Rh 0.2055 0.2500 0.1250  2 Cr 2.58, 2 Rh 2.66, 2 Pb 2.72
Rh 0.2500 0.7055 0.3750  2 Cr 2.58, 2 Rh 2.66, 2 Pb 2.72
Rh 0.2500 0.7945 0.8750  2 Cr 2.58, 2 Rh 2.66, 2 Pb 2.72
Rh 0.2945 0.2500 0.6250  2 Cr 2.58, 2 Rh 2.66, 2 Pb 2.72
Rh 0.7055 0.7500 0.6250  2 Cr 2.58, 2 Rh 2.66, 2 Pb 2.72
Rh 0.7500 0.2055 0.8750  2 Cr 2.58, 2 Rh 2.66, 2 Pb 2.72
Rh 0.7500 0.2945 0.3750  2 Cr 2.58, 2 Rh 2.66, 2 Pb 2.72
Rh 0.7945 0.7500 0.1250  2 Cr 2.58, 2 Rh 2.66, 2 Pb 2.72
Pb 0.0000 0.0000 0.5000  4 Rh 2.72, 4 Cr 2.90
Pb 0.0000 0.5000 0.7500  4 Rh 2.72, 4 Cr 2.90
Pb 0.5000 0.0000 0.2500  4 Rh 2.72, 4 Cr 2.90
Pb 0.5000 0.5000 0.0000  4 Rh 2.72, 4 Cr 2.90

VASP calculation (GGA-PBE) on KAgBr2Cl after structural relaxation.

Summary:
The formation energy from raw total energies is -0.89 eV per atom. The space group is P4/mmm, No. 123.

Lattice parameters (Å, degrees): 5.4097 5.4097 5.1243 90.00 90.00 90.00
With the nearest neighbours (Å) after each atom.
Fractional coordinates of all 5 atoms:
K 0.0000 0.0000 0.0000  8 Br 3.73, 4 Cl 3.83
Ag 0.5000 0.5000 0.5000  2 Cl 2.56, 4 Br 2.70
Br 0.0000 0.5000 0.5000  2 Ag 2.70
Br 0.5000 0.0000 0.5000  2 Ag 2.70
Cl 0.5000 0.5000 0.0000  2 Ag 2.56

VASP calculation (GGA-PBE) on Y2AlTcN after structural relaxation.

Summary:
The formation energy from raw total energies is -0.69 eV per atom. The space group is P4/mmm, No. 123.

Lattice parameters (Å, degrees): 4.8998 4.8998 3.9128 90.00 90.00 90.00
With the nearest neighbours (Å) after each atom.
Fractional coordinates of all 5 atoms:
Y 0.0000 0.5000 0.0000  2 N 2.45
Y 0.5000 0.0000 0.0000  2 N 2.45
Al 0.0000 0.0000 0.5000  8 Y 3.14, 4 Tc 3.46
Tc 0.5000 0.5000 0.5000  2 N 1.96
N 0.5000 0.5000 0.0000  2 Tc 1.96

Results for density of states at the Fermi level: 1.759; 2.022; 0.785; 0.958; 0.378; 0.312 (in states/eV/atom, following the order of the records).
Results for energy: -4.760; -4.367; -7.810; -6.509; -2.721; -7.767 (in eV/atom, following the order of the records).